{
  "formula": "Li9Ca2Ga6",
  "functional": "PBE-GGA",
  "state": "relaxed",
  "cell": [[-4.384, 1.266, -2.924], [-0.555, -2.553, 4.749], [-0.787, 12.139, 6.433]],
  "species": ["Ga", "Li", "Li", "Li", "Li", "Ca", "Li", "Ga", "Ga", "Li", "Li", "Ga", "Li", "Ca", "Ga", "Li", "Ga"],
  "frac_coords": [[0.667, 0.333, 0.000], [0.000, 0.500, 0.500], [0.500, 0.500, 0.165], [0.500, 0.500, 0.835], [0.000, 0.500, 0.835], [0.000, 0.000, 0.658], [0.500, 0.000, 0.835], [0.667, 0.333, 0.332], [0.667, 0.333, 0.668], [0.000, 0.500, 0.165], [0.500, 0.000, 0.165], [0.333, 0.667, 0.332], [0.500, 0.000, 0.500], [0.000, 0.000, 0.342], [0.333, 0.667, 0.668], [0.500, 0.500, 0.500], [0.333, 0.667, 0.000]],
  "sg": "P6/mmm, No. 191",
  "dft_energy_ev_per_atom": -2.48
}

***

{
  "formula": "Li3CaGa2",
  "functional": "PBE-GGA",
  "state": "relaxed",
  "cell": [[4.435, 0.000, 0.000], [0.000, 8.467, -4.888], [0.000, 0.000, 9.777]],
  "species": ["Ca", "Li", "Li", "Li", "Ga", "Ga", "Ga", "Li", "Li", "Ga", "Li", "Li", "Ca", "Li", "Li", "Ga", "Ga", "Ca"],
  "frac_coords": [[0.000, 0.333, 0.667], [0.500, 0.500, 0.500], [0.500, 0.000, 0.500], [0.000, 0.000, 0.708], [0.500, 0.183, 0.366], [0.500, 0.634, 0.817], [0.500, 0.366, 0.183], [0.000, 0.708, 0.708], [0.000, 0.708, 0.000], [0.500, 0.183, 0.817], [0.500, 0.500, 0.000], [0.000, 0.292, 0.000], [0.000, 0.667, 0.333], [0.000, 0.000, 0.292], [0.000, 0.292, 0.292], [0.500, 0.817, 0.183], [0.500, 0.817, 0.634], [0.500, 0.000, 0.000]],
  "sg": "P6/mmm, No. 191",
  "dft_energy_ev_per_atom": -2.56
}

***

{
  "formula": "LiCaGa2",
  "functional": "PBE-GGA",
  "state": "relaxed",
  "cell": [[4.226, 0.000, 0.000], [0.000, 4.481, 0.000], [0.000, 0.000, 4.481]],
  "species": ["Ga", "Ca", "Li", "Ga"],
  "frac_coords": [[0.000, 0.500, 0.000], [0.500, 0.500, 0.500], [0.500, 0.000, 0.000], [0.000, 0.000, 0.500]],
  "sg": "P4/mmm, No. 123",
  "dft_energy_ev_per_atom": -2.75
}

***

{
  "formula": "Li17Ca2Ga3",
  "functional": "PBE-GGA",
  "state": "relaxed",
  "cell": [[-5.083, 2.576, 5.394], [0.326, -6.415, 4.506], [5.435, 2.784, 4.927]],
  "species": ["Li", "Li", "Li", "Ga", "Li", "Ca", "Li", "Ca", "Li", "Li", "Li", "Li", "Ga", "Li", "Li", "Li", "Li", "Li", "Ga", "Li", "Li", "Li"],
  "frac_coords": [[0.335, 0.805, 0.335], [0.665, 0.195, 0.665], [0.262, 0.738, 0.000], [0.500, 0.000, 0.500], [0.335, 0.335, 0.805], [0.329, 0.329, 0.329], [0.000, 0.500, 0.000], [0.671, 0.671, 0.671], [0.665, 0.665, 0.195], [0.000, 0.262, 0.738], [0.738, 0.000, 0.262], [0.738, 0.262, 0.000], [0.500, 0.500, 0.000], [0.000, 0.738, 0.262], [0.805, 0.335, 0.335], [0.262, 0.000, 0.738], [0.904, 0.904, 0.904], [0.096, 0.096, 0.096], [0.000, 0.500, 0.500], [0.500, 0.000, 0.000], [0.000, 0.000, 0.500], [0.195, 0.665, 0.665]],
  "sg": "R-3m, No. 166",
  "dft_energy_ev_per_atom": -2.10
}

***

{
  "formula": "LiCa2Ga3",
  "functional": "PBE-GGA",
  "state": "relaxed",
  "cell": [[-2.505, -1.573, 3.391], [2.756, -4.253, 3.049], [1.216, 2.633, 5.106]],
  "species": ["Ca", "Ga", "Li", "Ga", "Ca", "Ga"],
  "frac_coords": [[0.547, 0.202, 0.704], [0.158, 0.799, 0.885], [0.167, 0.401, 0.266], [0.841, 0.206, 0.112], [0.455, 0.794, 0.295], [0.832, 0.598, 0.737]],
  "sg": "Cm, No. 8",
  "dft_energy_ev_per_atom": -2.93
}

***

{
  "formula": "Li4Ca3Ga2",
  "functional": "PBE-GGA",
  "state": "relaxed",
  "cell": [[-4.299, 0.708, -1.953], [3.546, -3.341, -3.180], [-3.652, -5.455, 6.061]],
  "species": ["Ca", "Ca", "Li", "Ga", "Ga", "Li", "Ca", "Li", "Li"],
  "frac_coords": [[0.382, 0.764, 0.626], [0.000, 0.000, 0.000], [0.097, 0.193, 0.662], [0.285, 0.571, 0.249], [0.715, 0.429, 0.751], [0.716, 0.431, 0.055], [0.618, 0.236, 0.374], [0.284, 0.569, 0.945], [0.903, 0.807, 0.338]],
  "sg": "C2/m, No. 12",
  "dft_energy_ev_per_atom": -2.40
}

***

{
  "formula": "LiCa5Ga4",
  "functional": "PBE-GGA",
  "state": "relaxed",
  "cell": [[-2.116, -1.640, 2.590], [3.059, -0.919, 1.917], [-1.025, 16.094, 9.350]],
  "species": ["Ca", "Ca", "Li", "Ca", "Ca", "Ga", "Ga", "Ga", "Ca", "Ga"],
  "frac_coords": [[0.500, 0.500, 0.883], [0.500, 0.500, 0.692], [0.000, 0.000, 0.000], [0.500, 0.500, 0.308], [0.500, 0.500, 0.500], [0.000, 0.000, 0.404], [0.000, 0.000, 0.596], [0.000, 0.000, 0.790], [0.500, 0.500, 0.117], [0.000, 0.000, 0.210]],
  "sg": "P4/mmm, No. 123",
  "dft_energy_ev_per_atom": -2.76
}

***

{
  "formula": "Li14CaGa",
  "functional": "PBE-GGA",
  "state": "relaxed",
  "cell": [[-1.761, 0.249, -6.106], [-4.121, -0.362, 4.830], [-0.298, 9.967, 0.493]],
  "species": ["Li", "Li", "Li", "Li", "Li", "Li", "Li", "Li", "Li", "Li", "Li", "Li", "Li", "Ca", "Ga", "Li"],
  "frac_coords": [[0.867, 0.133, 0.221], [0.390, 0.132, 0.250], [0.718, 0.773, 0.000], [0.227, 0.282, 0.000], [0.867, 0.133, 0.779], [0.868, 0.610, 0.250], [0.514, 0.983, 0.500], [0.017, 0.486, 0.500], [0.226, 0.774, 0.000], [0.709, 0.291, 0.000], [0.868, 0.610, 0.750], [0.390, 0.132, 0.750], [0.389, 0.611, 0.275], [0.011, 0.989, 0.500], [0.549, 0.451, 0.500], [0.389, 0.611, 0.725]],
  "sg": "Amm2, No. 38",
  "dft_energy_ev_per_atom": -2.00
}